(1)
Material: AlHPdRh2
Method: DFT, PBE
State: relaxed

abc: 3.858 3.858 4.015
angles: 90.00 90.00 90.00
Space group P4/mmm (No. 123)
Unique sites:
Al (0.000, 0.000, 0.000) [1 per cell]
H (0.000, 0.000, 0.500) [1 per cell]
Pd (0.500, 0.500, 0.000) [1 per cell]
Rh (0.000, 0.500, 0.500) [2 per cell]

(2)
Material: AlHPdRh2
Method: DFT, PBE
State: relaxed

abc: 3.945 3.945 3.852
angles: 90.00 90.00 90.00
Space group P4/mmm (No. 123)
Unique sites:
Al (0.000, 0.000, 0.000) [1 per cell]
H (0.500, 0.500, 0.500) [1 per cell]
Pd (0.500, 0.500, 0.000) [1 per cell]
Rh (0.000, 0.500, 0.500) [2 per cell]

Number 1: E_tot -5.699 eV/atom, spin magnetization 0.0 μB per cell. Number 2: E_tot -5.813 eV/atom, spin magnetization 0.0 μB per cell.